# 1
First-principles (PBE) data for a relaxed structure of Ce2HoTm, as listed in Alexandria.

The final energy is -5.13 eV per atom. The value obtained for the energy above the most stable polymorph in this dataset is 19 meV per atom. The space group is P4/mmm (123).

Cell lengths 4.989, 4.898, 4.898 Å; angles 90.00, 90.00, 90.00 degrees
Element x y z (fractional)
Ho1 0.500 0.500 0.500
Ce1 0.000 0.000 0.500
Ce2 0.000 0.500 0.000
Tm1 0.500 0.000 0.000

---

# 2
First-principles (PBE) data for a relaxed structure of CeHo2Tm, as listed in Alexandria.

The final energy is -4.39 eV per atom. The value obtained for the energy above the most stable polymorph in this dataset is 442 meV per atom. The space group is C2/c (15).

Cell lengths 3.512, 6.631, 13.736 Å; angles 76.02, 83.31, 61.15 degrees
Element x y z (fractional)
Ho1 0.219 0.696 0.106
Ho2 0.281 0.198 0.106
Ho3 0.781 0.304 0.894
Ho4 0.719 0.802 0.894
Tm1 0.250 0.657 0.686
Tm2 0.750 0.343 0.314
Ce1 0.000 0.500 0.500
Ce2 0.500 0.000 0.500

---

# 3
First-principles (PBE) data for a relaxed structure of CeHo6Tm2, as listed in Alexandria.

The final energy is -4.39 eV per atom. The value obtained for the energy above the most stable polymorph in this dataset is 225 meV per atom. The space group is R3m (160).

Cell lengths 7.209, 7.209, 7.520 Å; angles 61.36, 61.36, 60.00 degrees
Element x y z (fractional)
Tm1 0.579 0.579 0.263
Tm2 0.757 0.757 0.730
Ho1 0.608 0.053 0.286
Ho2 0.053 0.608 0.286
Ho3 0.053 0.053 0.286
Ho4 0.260 0.777 0.702
Ho5 0.777 0.260 0.702
Ho6 0.260 0.260 0.702
Ce1 0.318 0.318 0.045

---

# 4
First-principles (PBE) data for a relaxed structure of CeHo3Tm5, as listed in Alexandria.

The final energy is -4.21 eV per atom. The space group is C2/m (12).

Cell lengths 9.174, 9.174, 12.605 Å; angles 51.72, 51.72, 50.98 degrees
Element x y z (fractional)
Tm1 0.368 0.368 0.931
Tm2 0.679 0.321 0.000
Tm3 0.444 0.444 0.432
Tm4 0.078 0.489 0.782
Tm5 0.922 0.511 0.218
Tm6 0.632 0.632 0.069
Tm7 0.556 0.556 0.568
Tm8 0.511 0.922 0.218
Tm9 0.321 0.679 0.000
Tm10 0.489 0.078 0.782
Ho1 0.307 0.307 0.312
Ho2 0.000 0.000 0.500
Ho3 0.832 0.832 0.342
Ho4 0.000 0.000 0.000
Ho5 0.168 0.168 0.658
Ho6 0.693 0.693 0.688
Ce1 0.104 0.104 0.132
Ce2 0.896 0.896 0.868

---

Number 1: formation energy 102 meV per atom. Number 2: formation energy 497 meV per atom. Number 3: formation energy 314 meV per atom. Number 4: formation energy 460 meV per atom.